Model a:
FeNiBr2 after structural relaxation. Source: the Alexandria database, functional PBE.

Cell: 5.6165 5.6165 6.8697 Å, 65.87 65.87 90.00°
Last column: magnetic moment on the atom in μB.
Fractional coordinates of all 8 atoms:
Br  0.3750  0.3666  0.7500  0.08
Ni  0.0000  0.0000  0.0000  0.71
Br  0.8750  0.8834  0.7500  0.08
Fe  0.2500  0.7500  0.5000  2.97
Br  0.6334  0.1250  0.2500  0.08
Br  0.1166  0.6250  0.2500  0.08
Ni  0.7500  0.2500  0.5000  0.71
Fe  0.5000  0.5000  0.0000  2.96

Calculated density   5.15 g/cm³

***

Model b:
FeNiBr2 after structural relaxation. Source: the Alexandria database, functional PBE.

Cell: 3.6763 3.6763 7.5499 Å, 89.57 89.57 60.02°
Last column: magnetic moment on the atom in μB.
Fractional coordinates of all 4 atoms:
Fe  0.4591  0.4591  0.3065  3.11
Ni  0.1239  0.1239  0.4625  0.70
Br  0.1280  0.1280  0.1025  0.07
Br  0.7890  0.7890  0.6285  0.07

Calculated density   5.15 g/cm³

***

Which structure is the least stable? The one labeled model a.

***

Model a:
FeNiBr2 after structural relaxation. Source: the Alexandria database, functional PBE.

Cell: 3.5742 5.4820 7.3886 Å, 138.34 90.00 90.00°
Last column: magnetic moment on the atom in μB.
Fractional coordinates of all 4 atoms:
Ni  0.5000  0.7500  0.7500  0.75
Fe  0.5000  0.2500  0.2500  2.99
Br  0.0000  0.2402  0.9962  0.10
Br  0.0000  0.2598  0.5038  0.10

Calculated density   4.73 g/cm³

***

Model b:
FeNiBr2 after structural relaxation. Source: the Alexandria database, functional PBE.

Cell: 6.8730 6.8730 6.8730 Å, 149.95 149.95 43.02°
Last column: magnetic moment on the atom in μB.
Fractional coordinates of all 4 atoms:
Br  0.2500  0.7500  0.5000  0.03
Fe  0.5000  0.5000  0.0000  3.02
Ni  0.7500  0.2500  0.5000  0.31
Br  0.0000  0.0000  0.0000  0.09

Calculated density   5.61 g/cm³

***

Which structure is the least stable? The one labeled model b.